[1]
! Sm4AlZn2 (PBE, relaxed); values from VASP
! * space group: R-3m
&SYSTEM
  ibrav = 0, nat = 7, ntyp = 3
/
ATOMIC_SPECIES
Zn 65.41 Zn.upf
Al 26.98 Al.upf
Sm 150.36 Sm.upf
CELL_PARAMETERS angstrom
-0.1449 3.4931 3.7279
-4.1097 0.3471 3.0183
1.9421 -4.1272 7.4460
ATOMIC_POSITIONS angstrom
Zn -1.6827 -0.2984 10.7240
Zn -0.6297 0.0113 3.4682
Al 0.0000 0.0000 0.0000
Sm -2.9505 1.7418 8.7630
Sm 0.6381 -2.0289 5.4291
Sm -2.3497 1.7769 5.2502
Sm 0.0372 -2.0640 8.9419

=====

[2]
! Sm2AlZn6 (PBE, relaxed); values from VASP
! * space group: P-3m1
&SYSTEM
  ibrav = 0, nat = 9, ntyp = 3
/
ATOMIC_SPECIES
Sm 150.36 Sm.upf
Al 26.98 Al.upf
Zn 65.41 Zn.upf
CELL_PARAMETERS angstrom
-1.4916 3.3564 -4.4702
-2.9596 -4.8504 1.0896
-3.6482 3.0066 3.4748
ATOMIC_POSITIONS angstrom
Sm -5.0857 3.1797 0.3404
Sm -3.0136 -1.6670 -0.2461
Al 0.0000 0.0000 0.0000
Zn -2.3002 1.3553 -0.2146
Zn -4.3739 0.6593 -1.7895
Zn -2.9951 2.9190 -2.2972
Zn -5.7991 0.1573 0.3088
Zn -3.7254 0.8534 1.8838
Zn -5.1042 -1.4064 2.3915

=====

[3]
! Sm2AlZn9 (PBE, relaxed); values from VASP
! * space group: R-3m
&SYSTEM
  ibrav = 0, nat = 12, ntyp = 3
/
ATOMIC_SPECIES
Sm 150.36 Sm.upf
Al 26.98 Al.upf
Zn 65.41 Zn.upf
CELL_PARAMETERS angstrom
5.5538 0.0000 0.0000
2.7769 4.8098 0.0000
2.7769 1.6033 8.4009
ATOMIC_POSITIONS angstrom
Sm 8.3307 4.8097 3.4729
Sm 2.7769 1.6033 4.9280
Al 0.0000 0.0000 0.0000
Zn 5.5538 3.2065 0.0350
Zn 5.5538 3.2065 8.3659
Zn 5.5538 3.2065 4.2004
Zn 4.1382 2.3892 2.0698
Zn 6.9694 2.3892 2.0698
Zn 5.5538 4.8411 2.0698
Zn 6.9694 4.0238 6.3311
Zn 5.5538 1.5719 6.3311
Zn 4.1382 4.0238 6.3311

=====

[4]
! Sm7Al2Zn2 (PBE, relaxed); values from VASP
! * space group: Cmmm
&SYSTEM
  ibrav = 0, nat = 11, ntyp = 3
/
ATOMIC_SPECIES
Sm 150.36 Sm.upf
Al 26.98 Al.upf
Zn 65.41 Zn.upf
CELL_PARAMETERS angstrom
-4.3838 -0.4745 -5.1002
-2.2804 -6.7444 2.5877
-2.9115 3.0114 5.2830
ATOMIC_POSITIONS angstrom
Sm -2.1033 -0.4095 3.3763
Sm -3.8247 -5.0665 -0.6971
Sm -3.0886 -3.3235 4.4945
Sm -2.8395 -2.1524 -1.8154
Sm 0.0000 0.0000 0.0000
Sm -5.3446 -3.7504 2.0171
Sm -4.2311 -0.4571 0.7534
Al -7.2114 -1.2610 1.4460
Al -2.3643 -2.9465 1.3245
Zn -6.2397 -6.2137 0.4816
Zn -3.3361 2.0062 2.2889

=====

[5]
! Sm3Al5Zn12 (PBE, relaxed); values from VASP
! * space group: Ia-3d
&SYSTEM
  ibrav = 0, nat = 80, ntyp = 3
/
ATOMIC_SPECIES
Sm 150.36 Sm.upf
Al 26.98 Al.upf
Zn 65.41 Zn.upf
CELL_PARAMETERS angstrom
-5.7792 -1.8502 -12.1709
12.5721 -5.1850 -0.1160
-7.4013 -6.2689 9.5329
ATOMIC_POSITIONS angstrom
Sm -0.5451 -4.1156 -7.9801
Sm 3.4471 -6.2913 -9.5450
Sm 2.6360 -8.5006 1.3069
Sm -2.6488 -3.4615 0.5176
Sm -5.3356 -3.8343 -8.2808
Sm 3.8400 -5.5017 -2.2534
Sm -4.4485 -7.8024 -0.5007
Sm 4.7272 -9.4698 5.5268
Sm 2.0403 -9.8426 -3.2717
Sm -3.2445 -4.8035 -4.0610
Sm -4.0555 -7.0128 6.7909
Sm -0.0634 -9.1885 5.2260
Al 2.1418 -3.7429 0.8183
Al 6.2860 -2.5925 -0.0580
Al 0.0000 0.0000 0.0000
Al 0.0506 -2.7737 -3.4015
Al -6.5903 -4.0596 -1.3190
Al 3.3964 -3.5176 -6.1435
Al 5.9312 -6.4708 1.9664
Al -9.2390 -7.5211 -0.8014
Al 0.7476 -6.9791 -5.6259
Al -6.1467 -6.0436 2.5711
Al 5.5382 -7.2605 -5.3251
Al -0.3042 -6.6521 -1.3770
Al -2.8896 -0.9251 -6.0855
Al -3.7006 -3.1345 4.7664
Al -1.3561 -6.3250 2.8718
Al 8.6306 -5.7830 -1.9527
Al 2.5854 -5.7269 4.7084
Al -6.5396 -6.8333 -4.7205
Al -0.6591 -10.5304 0.6474
Al -2.7502 -9.5612 -3.5724
Zn -3.3018 -1.6309 -8.3868
Zn 1.2512 -6.0018 0.3899
Zn -2.4780 -6.0443 -9.2238
Zn -0.9365 -2.3131 -5.6136
Zn -0.0314 -9.0751 -1.2414
Zn -0.1698 -5.8825 -10.3760
Zn 5.6221 -7.0581 -0.4083
Zn 10.1407 -4.9655 -0.1832
Zn 4.2097 -10.4852 -0.3018
Zn 2.5737 -5.7416 -6.7276
Zn -1.7119 -6.8133 -5.6779
Zn 7.1558 -6.4497 -9.9440
Zn 4.6254 -6.8783 4.0179
Zn 2.0791 -3.9671 -4.1368
Zn 7.8677 -7.9147 2.4611
Zn -5.4638 -4.4576 0.8110
Zn 0.1502 -2.4297 0.1949
Zn 5.3888 -4.8125 -5.5799
Zn 3.9249 -7.9185 -7.0698
Zn 3.8647 -2.3458 -0.2586
Zn 3.9798 -11.0247 2.2157
Zn 1.1258 -6.2230 -3.3096
Zn 1.0029 -9.1385 -6.7884
Zn -7.1415 -8.5457 -1.5952
Zn -1.7343 -7.0811 0.5556
Zn -1.6114 -4.1656 4.0343
Zn 6.5330 -4.7584 -1.1589
Zn -4.5333 -5.3856 4.3157
Zn -4.5883 -2.2794 -4.9698
Zn -4.4731 -10.9583 -2.4955
Zn -5.9973 -8.4916 2.8258
Zn 4.8554 -8.8465 -3.5650
Zn -0.7586 -10.8744 -2.9490
Zn -8.4762 -5.3894 -5.2152
Zn -5.2339 -6.4258 -6.7720
Zn -7.7643 -6.8544 7.1899
Zn -2.6876 -9.3370 1.3827
Zn -4.8181 -2.8189 -2.4523
Zn -3.1821 -7.5625 3.9735
Zn 1.1035 -6.4908 2.9239
Zn -10.7492 -8.3386 -2.5708
Zn -6.2305 -6.2460 -2.3458
Zn 0.3280 -10.9910 2.8595
Zn -0.4387 -7.4217 7.6219
Zn -0.5771 -4.2290 -1.5126
Zn 1.8696 -7.2598 6.4697
Zn -1.8596 -7.3023 -3.1440
Zn 2.6934 -11.6732 5.6327

=====

[6]
! Sm12Al3Zn5 (PBE, relaxed); values from VASP
! * space group: Ia-3d
&SYSTEM
  ibrav = 0, nat = 80, ntyp = 3
/
ATOMIC_SPECIES
Al 26.98 Al.upf
Zn 65.41 Zn.upf
Sm 150.36 Sm.upf
CELL_PARAMETERS angstrom
-9.9532 -0.6310 11.3192
6.2458 -13.5906 -1.9677
10.7559 10.0450 3.3158
ATOMIC_POSITIONS angstrom
Al -3.7782 -4.3141 8.1660
Al -2.6801 -9.4895 8.8430
Al 7.6744 -4.1515 4.8413
Al 2.3259 1.9103 3.8273
Al -5.2393 0.2603 10.4873
Al 2.8602 -6.2195 3.8438
Al 4.1884 2.0429 8.8234
Al 12.2879 -4.4369 2.1800
Al 4.7227 -6.0869 8.8400
Al -0.6258 -0.0252 7.8260
Al 9.7288 5.3129 3.8243
Al 10.8268 0.1375 4.5013
Zn 3.7870 -2.6641 1.5060
Zn 3.1229 -6.7953 -0.9838
Zn 0.0000 0.0000 0.0000
Zn -0.8265 -2.3787 4.1672
Zn 0.4014 4.7070 7.3175
Zn -1.8537 -7.1108 4.6757
Zn 7.4737 -6.5050 1.1826
Zn 2.7273 6.6173 11.1447
Zn 0.4723 -5.2005 8.5030
Zn 5.1152 5.5983 6.4856
Zn 1.9334 -9.7749 6.1817
Zn 3.5243 -2.0883 6.3336
Zn -4.9766 -0.3155 5.6596
Zn 5.3780 5.0225 1.6579
Zn 6.5764 1.0239 4.1643
Zn 4.3213 -10.7939 1.5225
Zn 8.5009 -1.7728 0.6741
Zn -0.4251 2.3283 11.4847
Zn 7.8751 -1.7980 8.5000
Zn 3.2616 -1.5125 11.1613
Sm -5.7532 -1.7168 8.0840
Sm 4.6786 -3.5196 4.0834
Sm -4.1184 -2.7774 10.8993
Sm -2.7063 -2.0165 6.2898
Sm 5.8209 -3.4811 7.4430
Sm -4.0043 -6.7882 10.1092
Sm 5.9758 -6.6531 3.6124
Sm 6.3526 -11.1062 -0.4641
Sm 7.3106 -6.5153 6.8976
Sm -1.7197 -6.7734 7.5589
Sm -1.0296 -2.8573 9.1542
Sm -1.9509 -12.4974 7.8066
Sm 9.1461 -4.3115 1.9323
Sm -0.0709 -5.0784 3.6100
Sm 8.8241 -8.8981 0.3954
Sm 2.9529 3.7362 6.3215
Sm 2.5448 -0.0920 1.4001
Sm 0.5765 -8.5472 3.9859
Sm 0.3971 -10.1241 8.5666
Sm 2.0900 -4.8984 0.9602
Sm 10.6302 -5.2517 4.8711
Sm 2.6330 -4.8339 6.6682
Sm 2.0053 -6.3375 10.6307
Sm 4.1457 4.1360 11.1825
Sm 4.4156 0.6573 5.9991
Sm 5.0433 2.1608 2.0366
Sm 2.9029 -8.3126 1.4847
Sm 6.6516 5.9475 4.1006
Sm -3.5816 1.0750 7.7962
Sm 4.9586 0.7218 11.7070
Sm 6.4722 4.3706 8.6814
Sm 4.0957 -7.9129 6.3458
Sm 4.5039 -4.0846 11.2672
Sm -1.7755 4.7214 12.2718
Sm -2.0975 0.1349 10.7350
Sm 8.9995 8.3208 4.8607
Sm 7.1196 0.9018 9.0573
Sm -0.2619 2.3387 5.7697
Sm 8.7684 2.5968 5.1084
Sm 8.0782 -1.3193 3.5131
Sm 0.6961 6.9296 13.1313
Sm 1.0728 2.4765 9.0549
Sm 9.7549 -2.1602 6.3775
Sm 11.0529 2.6116 2.5581
Sm 1.2277 -0.6956 5.2243
Sm 11.1670 -1.3992 1.7680
Sm 2.3700 -0.6570 8.5839
Sm 12.8018 -2.4599 4.5833

=====

The formation enthalpy at 0 K results, record by record, are as follows: -0.2033, -0.3223, -0.1038, -0.0054, 0.3215, 0.2060 eV/atom.
The DOS(E_F) results, record by record, are as follows: 7.68, 6.64, 6.71, 14.80, 7.53, 30.86 states/eV/f.u..